1.
# CuNiBiSe3 | the Open Quantum Materials Database | PBE | relaxed
# Electronic total energy (eV per atom): -4.23
# Magnetization (μB per formula unit): 0.00
data_CuNiBiSe3
_chemical_formula_sum 'Cu4 Ni4 Bi4 Se12'
_symmetry_space_group_name_H-M 'P 1'
_symmetry_Int_Tables_number 1
_cell_length_a 5.0329
_cell_length_b 7.9606
_cell_length_c 13.1948
_cell_angle_alpha 90.00
_cell_angle_beta 90.00
_cell_angle_gamma 90.00
loop_
_symmetry_equiv_pos_as_xyz
'x,y,z'
loop_
_atom_site_label
_atom_site_type_symbol
_atom_site_fract_x
_atom_site_fract_y
_atom_site_fract_z
Bi1 Bi 0.6079 0.1198 0.1363
Bi2 Bi 0.3921 0.6198 0.3637
Bi3 Bi 0.8921 0.8802 0.6363
Bi4 Bi 0.1079 0.3802 0.8637
Cu1 Cu 0.4715 0.6119 0.0599
Cu2 Cu 0.5285 0.1119 0.4401
Cu3 Cu 0.0285 0.3881 0.5599
Cu4 Cu 0.9715 0.8881 0.9401
Ni1 Ni 0.9934 0.3642 0.2497
Ni2 Ni 0.0066 0.8642 0.2503
Ni3 Ni 0.5066 0.6358 0.7497
Ni4 Ni 0.4934 0.1358 0.7503
Se1 Se 0.2213 0.3630 0.0931
Se2 Se 0.2275 0.8652 0.0932
Se3 Se 0.7745 0.6160 0.2034
Se4 Se 0.2255 0.1160 0.2966
Se5 Se 0.7725 0.3652 0.4068
Se6 Se 0.7787 0.8630 0.4069
Se7 Se 0.2787 0.6370 0.5931
Se8 Se 0.2725 0.1348 0.5932
Se9 Se 0.7255 0.3840 0.7034
Se10 Se 0.2745 0.8840 0.7966
Se11 Se 0.7275 0.6348 0.9068
Se12 Se 0.7213 0.1370 0.9069

2.
# KGaBAu | the Open Quantum Materials Database | PBE | relaxed
# Excess energy over the best structure of this formula in the dataset (meV per atom): 0.0
data_KGaBAu
_chemical_formula_sum 'K1 Ga1 B1 Au1'
_symmetry_space_group_name_H-M 'P 1'
_symmetry_Int_Tables_number 1
_cell_length_a 4.7039
_cell_length_b 4.7039
_cell_length_c 4.7039
_cell_angle_alpha 60.00
_cell_angle_beta 60.00
_cell_angle_gamma 60.00
loop_
_symmetry_equiv_pos_as_xyz
'x,y,z'
loop_
_atom_site_label
_atom_site_type_symbol
_atom_site_fract_x
_atom_site_fract_y
_atom_site_fract_z
Au1 Au 0.7500 0.7500 0.7500
B1 B 0.5000 0.5000 0.5000
Ga1 Ga 0.0000 0.0000 0.0000
K1 K 0.2500 0.2500 0.2500

3.
# NaLaHgS3 | the Open Quantum Materials Database | PBE | relaxed
# Excess energy over the best structure of this formula in the dataset (meV per atom): 16.6
# Magnetization (μB per formula unit): 0.00
data_NaLaHgS3
_chemical_formula_sum 'Na4 La4 Hg4 S12'
_symmetry_space_group_name_H-M 'P 1'
_symmetry_Int_Tables_number 1
_cell_length_a 14.4235
_cell_length_b 4.2029
_cell_length_c 11.4963
_cell_angle_alpha 90.00
_cell_angle_beta 90.00
_cell_angle_gamma 90.00
loop_
_symmetry_equiv_pos_as_xyz
'x,y,z'
loop_
_atom_site_label
_atom_site_type_symbol
_atom_site_fract_x
_atom_site_fract_y
_atom_site_fract_z
Hg1 Hg 0.4506 0.2500 0.1005
Hg2 Hg 0.9506 0.2500 0.3995
Hg3 Hg 0.0494 0.7500 0.6005
Hg4 Hg 0.5494 0.7500 0.8995
La1 La 0.9558 0.7500 0.1503
La2 La 0.4558 0.7500 0.3497
La3 La 0.5442 0.2500 0.6503
La4 La 0.0442 0.2500 0.8497
Na1 Na 0.2072 0.7500 0.1901
Na2 Na 0.7072 0.7500 0.3099
Na3 Na 0.2928 0.2500 0.6901
Na4 Na 0.7928 0.2500 0.8099
S1 S 0.0839 0.2500 0.0896
S2 S 0.5635 0.7500 0.1262
S3 S 0.8331 0.2500 0.2375
S4 S 0.3331 0.2500 0.2625
S5 S 0.0635 0.7500 0.3738
S6 S 0.5839 0.2500 0.4103
S7 S 0.4161 0.7500 0.5896
S8 S 0.9365 0.2500 0.6262
S9 S 0.6669 0.7500 0.7375
S10 S 0.1669 0.7500 0.7625
S11 S 0.4365 0.2500 0.8738
S12 S 0.9161 0.7500 0.9104

4.
# KLiHo | the Open Quantum Materials Database | PBE | relaxed
# Electronic total energy (eV per atom): -1.43
# Magnetization (μB per formula unit): 0.08
data_KLiHo
_chemical_formula_sum 'K1 Li1 Ho1'
_symmetry_space_group_name_H-M 'P 1'
_symmetry_Int_Tables_number 1
_cell_length_a 5.5918
_cell_length_b 5.5918
_cell_length_c 5.5918
_cell_angle_alpha 60.00
_cell_angle_beta 60.00
_cell_angle_gamma 60.00
loop_
_symmetry_equiv_pos_as_xyz
'x,y,z'
loop_
_atom_site_label
_atom_site_type_symbol
_atom_site_fract_x
_atom_site_fract_y
_atom_site_fract_z
Ho1 Ho 0.2500 0.2500 0.2500
K1 K 0.0000 0.0000 0.0000
Li1 Li 0.7500 0.7500 0.7500

5.
# PmAgPt | the Open Quantum Materials Database | PBE | relaxed
# Excess energy over the best structure of this formula in the dataset (meV per atom): 0.0
# Magnetization (μB per formula unit): 0.00
# Energy relative to the elements (meV per atom): -633
data_PmAgPt
_chemical_formula_sum 'Pm1 Ag1 Pt1'
_symmetry_space_group_name_H-M 'P 1'
_symmetry_Int_Tables_number 1
_cell_length_a 4.7277
_cell_length_b 4.7277
_cell_length_c 4.7277
_cell_angle_alpha 60.00
_cell_angle_beta 60.00
_cell_angle_gamma 60.00
loop_
_symmetry_equiv_pos_as_xyz
'x,y,z'
loop_
_atom_site_label
_atom_site_type_symbol
_atom_site_fract_x
_atom_site_fract_y
_atom_site_fract_z
Ag1 Ag 0.2500 0.2500 0.2500
Pm1 Pm 0.7500 0.7500 0.7500
Pt1 Pt 0.0000 0.0000 0.0000

6.
# BaPa | the Open Quantum Materials Database | PBE | relaxed
# Excess energy over the best structure of this formula in the dataset (meV per atom): 903.7
# Magnetization (μB per formula unit): 2.16
data_BaPa
_chemical_formula_sum 'Ba1 Pa1'
_symmetry_space_group_name_H-M 'P 1'
_symmetry_Int_Tables_number 1
_cell_length_a 4.6468
_cell_length_b 4.6468
_cell_length_c 4.6468
_cell_angle_alpha 60.00
_cell_angle_beta 60.00
_cell_angle_gamma 60.00
loop_
_symmetry_equiv_pos_as_xyz
'x,y,z'
loop_
_atom_site_label
_atom_site_type_symbol
_atom_site_fract_x
_atom_site_fract_y
_atom_site_fract_z
Ba1 Ba 0.0000 0.0000 0.0000
Pa1 Pa 0.5000 0.5000 0.5000